No. 1
Compound: LiGaO2
Source: the Alexandria database
Functional: PBE-GGA
Structure: relaxed

Cell lengths 2.9884, 2.9884, 16.7807 Å; angles 90.00, 90.00, 120.00 degrees
Space group R-3m (No. 166, hexagonal axes)
Asymmetric unit:
Li1 0.0000 0.0000 0.0000 (multiplicity 3)
Ga1 0.0000 0.0000 0.5000 (multiplicity 3)
O1 0.0000 0.0000 0.1047 (multiplicity 6)

Values from the calculation:
**Fermi-level density of states**: 0.00 states/eV/f.u.
**Formation energy (no corrections)**: -1.77 eV per atom
**Raw total energy**: -5.484 eV/atom

=====

No. 2
Compound: LiGa3O
Source: the Alexandria database
Functional: PBE-GGA
Structure: relaxed

Cell lengths 4.489, 4.489, 4.489 Å; angles 90.00, 90.00, 90.00 degrees
Space group Pm-3m (No. 221)
Asymmetric unit:
Li1 0.000 0.000 0.000 (multiplicity 1)
Ga1 0.000 0.500 0.500 (multiplicity 3)
O1 0.500 0.500 0.500 (multiplicity 1)

Values from the calculation:
**Fermi-level density of states**: 1.97 states/eV/f.u.
**Formation energy (no corrections)**: -0.21 eV per atom
**Raw total energy**: -3.399 eV/atom

=====

No. 3
Compound: LiGaO2
Source: the Alexandria database
Functional: PBE-GGA
Structure: relaxed

Cell lengths 5.467, 6.457, 5.094 Å; angles 90.00, 90.00, 90.00 degrees
Space group Pna2_1 (No. 33)
Asymmetric unit:
Li1 0.082 0.124 0.000 (multiplicity 4)
Ga1 0.081 0.626 0.005 (multiplicity 4)
O1 0.069 0.612 0.373 (multiplicity 4)
O2 0.093 0.138 0.396 (multiplicity 4)

Values from the calculation:
**Fermi-level density of states**: 0.00 states/eV/f.u.
**Formation energy (no corrections)**: -2.03 eV per atom
**Raw total energy**: -5.742 eV/atom

=====

No. 4
Compound: Li5GaO4
Source: the Alexandria database
Functional: PBE-GGA
Structure: relaxed

Cell lengths 9.192, 9.290, 9.267 Å; angles 90.00, 90.00, 90.00 degrees
Space group Pbca (No. 61)
Asymmetric unit:
Li1 0.103 0.157 0.119 (multiplicity 8)
Li2 0.104 0.647 0.874 (multiplicity 8)
Li3 0.127 0.121 0.854 (multiplicity 8)
Li4 0.141 0.607 0.612 (multiplicity 8)
Li5 0.163 0.120 0.393 (multiplicity 8)
Ga1 0.117 0.618 0.145 (multiplicity 8)
O1 0.000 0.244 0.467 (multiplicity 8)
O2 0.013 0.005 0.250 (multiplicity 8)
O3 0.238 0.745 0.249 (multiplicity 8)
O4 0.244 0.534 0.009 (multiplicity 8)

Values from the calculation:
**Fermi-level density of states**: 0.00 states/eV/f.u.
**Formation energy (no corrections)**: -1.93 eV per atom
**Raw total energy**: -5.177 eV/atom

=====

No. 5
Compound: Li5GaO4
Source: the Alexandria database
Functional: PBE-GGA
Structure: relaxed

Cell lengths 9.112, 9.113, 9.636 Å; angles 90.00, 90.00, 90.00 degrees
Space group Pbca (No. 61)
Asymmetric unit:
Li1 0.104 0.114 0.128 (multiplicity 8)
Li2 0.105 0.670 0.869 (multiplicity 8)
Li3 0.127 0.648 0.132 (multiplicity 8)
Li4 0.142 0.094 0.367 (multiplicity 8)
Li5 0.169 0.120 0.601 (multiplicity 8)
Ga1 0.116 0.125 0.866 (multiplicity 8)
O1 0.012 0.011 0.739 (multiplicity 8)
O2 0.026 0.240 0.486 (multiplicity 8)
O3 0.229 0.248 0.250 (multiplicity 8)
O4 0.248 0.537 0.987 (multiplicity 8)

Values from the calculation:
**Fermi-level density of states**: 0.00 states/eV/f.u.
**Formation energy (no corrections)**: -1.90 eV per atom
**Raw total energy**: -5.144 eV/atom

=====

No. 6
Compound: LiGaO2
Source: the Alexandria database
Functional: PBE-GGA
Structure: relaxed

Cell lengths 4.509, 4.509, 8.728 Å; angles 90.00, 90.00, 90.00 degrees
Space group I-42d (No. 122)
Asymmetric unit:
Li1 0.000 0.000 0.000 (multiplicity 4)
Ga1 0.000 0.000 0.500 (multiplicity 4)
O1 0.227 0.250 0.625 (multiplicity 8)

Values from the calculation:
**Fermi-level density of states**: 0.00 states/eV/f.u.
**Formation energy (no corrections)**: -2.02 eV per atom
**Raw total energy**: -5.738 eV/atom

=====

No. 7
Compound: Li5Ga2O5
Source: the Alexandria database
Functional: PBE-GGA
Structure: relaxed

Cell lengths 9.772, 2.980, 9.076 Å; angles 90.00, 109.89, 90.00 degrees
Space group C2/m (No. 12)
Asymmetric unit:
Li1 0.000 0.000 0.000 (multiplicity 2)
Li2 0.157 0.000 0.558 (multiplicity 4)
Li3 0.228 0.000 0.890 (multiplicity 4)
Ga1 0.030 0.500 0.291 (multiplicity 4)
O1 0.000 0.500 0.500 (multiplicity 2)
O2 0.106 0.500 0.916 (multiplicity 4)
O3 0.167 0.000 0.320 (multiplicity 4)

Values from the calculation:
**Fermi-level density of states**: 1.21 states/eV/f.u.
**Formation energy (no corrections)**: -1.70 eV per atom
**Raw total energy**: -5.070 eV/atom

=====

No. 8
Compound: LiGaO2
Source: the Alexandria database
Functional: PBE-GGA
Structure: relaxed

Cell lengths 2.9346, 2.9346, 15.3323 Å; angles 90.00, 90.00, 120.00 degrees
Space group R3m (No. 160, hexagonal axes)
Asymmetric unit:
Li1 0.0000 0.0000 0.0000 (multiplicity 3)
Ga1 0.0000 0.0000 0.1727 (multiplicity 3)
O1 0.0000 0.0000 0.5795 (multiplicity 3)
O2 0.0000 0.0000 0.7683 (multiplicity 3)

Values from the calculation:
**Fermi-level density of states**: 0.00 states/eV/f.u.
**Formation energy (no corrections)**: -1.90 eV per atom
**Raw total energy**: -5.610 eV/atom

=====

No. 9
Compound: Li3GaO3
Source: the Alexandria database
Functional: PBE-GGA
Structure: relaxed

Cell lengths 6.877, 11.896, 4.013 Å; angles 90.00, 90.00, 90.00 degrees
Space group Cmcm (No. 63)
Asymmetric unit:
Li1 0.000 0.150 0.250 (multiplicity 4)
Li2 0.225 0.075 0.750 (multiplicity 8)
Ga1 0.000 0.333 0.750 (multiplicity 4)
O1 0.000 0.182 0.750 (multiplicity 4)
O2 0.226 0.409 0.750 (multiplicity 8)

Values from the calculation:
**Fermi-level density of states**: 0.00 states/eV/f.u.
**Formation energy (no corrections)**: -1.77 eV per atom
**Raw total energy**: -5.146 eV/atom

=====

No. 10
Compound: LiGaO2
Source: the Alexandria database
Functional: PBE-GGA
Structure: relaxed

Cell lengths 10.460, 3.145, 5.570 Å; angles 90.00, 100.42, 90.00 degrees
Space group Cm (No. 8)
Asymmetric unit:
Li1 0.000 0.000 0.000 (multiplicity 2)
Li2 0.241 0.500 0.235 (multiplicity 2)
Ga1 0.243 0.000 0.769 (multiplicity 2)
Ga2 0.488 0.000 0.496 (multiplicity 2)
O1 0.176 0.500 0.574 (multiplicity 2)
O2 0.186 0.000 0.052 (multiplicity 2)
O3 0.422 0.000 0.787 (multiplicity 2)
O4 0.441 0.500 0.324 (multiplicity 2)

Values from the calculation:
**Fermi-level density of states**: 0.00 states/eV/f.u.
**Formation energy (no corrections)**: -1.95 eV per atom
**Raw total energy**: -5.662 eV/atom

=====

No. 11
Compound: LiGaO2
Source: the Alexandria database
Functional: PBE-GGA
Structure: relaxed

Cell lengths 3.000, 3.000, 3.858 Å; angles 90.00, 90.00, 90.00 degrees
Space group P4/mmm (No. 123)
Asymmetric unit:
Li1 0.000 0.000 0.000 (multiplicity 1)
Ga1 0.500 0.500 0.500 (multiplicity 1)
O1 0.000 0.000 0.500 (multiplicity 1)
O2 0.500 0.500 0.000 (multiplicity 1)

Values from the calculation:
**Formation energy (no corrections)**: -1.79 eV per atom
**Raw total energy**: -5.508 eV/atom

=====

No. 12
Compound: Li5GaO4
Source: the Alexandria database
Functional: PBE-GGA
Structure: relaxed

Cell lengths 3.002, 6.277, 10.091 Å; angles 90.00, 90.00, 90.00 degrees
Space group Immm (No. 71)
Asymmetric unit:
Li1 0.000 0.000 0.000 (multiplicity 2)
Li2 0.000 0.273 0.165 (multiplicity 8)
Ga1 0.000 0.000 0.500 (multiplicity 2)
O1 0.000 0.000 0.297 (multiplicity 4)
O2 0.000 0.289 0.500 (multiplicity 4)

Values from the calculation:
**Fermi-level density of states**: 0.00 states/eV/f.u.
**Formation energy (no corrections)**: -1.60 eV per atom
**Raw total energy**: -4.845 eV/atom

=====

No. 13
Compound: Li5GaO4
Source: the Alexandria database
Functional: PBE-GGA
Structure: relaxed

Cell lengths 3.024, 5.508, 10.961 Å; angles 90.00, 90.00, 90.00 degrees
Space group Immm (No. 71)
Asymmetric unit:
Li1 0.000 0.000 0.000 (multiplicity 2)
Li2 0.000 0.222 0.325 (multiplicity 8)
Ga1 0.000 0.500 0.000 (multiplicity 2)
O1 0.000 0.247 0.500 (multiplicity 4)
O2 0.000 0.500 0.197 (multiplicity 4)

Values from the calculation:
**Fermi-level density of states**: 0.00 states/eV/f.u.
**Formation energy (no corrections)**: -1.84 eV per atom
**Raw total energy**: -5.078 eV/atom

=====

No. 14
Compound: Li2Ga2O
Source: the Alexandria database
Functional: PBE-GGA
Structure: relaxed

Cell lengths 4.483, 4.483, 4.277 Å; angles 90.00, 90.00, 90.00 degrees
Space group P4/mmm (No. 123)
Asymmetric unit:
Li1 0.000 0.000 0.000 (multiplicity 1)
Li2 0.000 0.000 0.500 (multiplicity 1)
Ga1 0.000 0.500 0.000 (multiplicity 2)
O1 0.500 0.500 0.500 (multiplicity 1)

Values from the calculation:
**Fermi-level density of states**: 1.68 states/eV/f.u.
**Formation energy (no corrections)**: 0.35 eV per atom
**Raw total energy**: -2.622 eV/atom

=====

No. 15
Compound: Li2GaO3
Source: the Alexandria database
Functional: PBE-GGA
Structure: relaxed

Cell lengths 2.971, 9.500, 4.814 Å; angles 90.00, 90.00, 90.00 degrees
Space group Imm2 (No. 44)
Asymmetric unit:
Li1 0.000 0.166 0.000 (multiplicity 4)
Ga1 0.000 0.500 0.991 (multiplicity 2)
O1 0.000 0.000 0.256 (multiplicity 2)
O2 0.000 0.341 0.218 (multiplicity 4)

Values from the calculation:
**Fermi-level density of states**: 3.41 states/eV/f.u.
**Formation energy (no corrections)**: -1.63 eV per atom
**Raw total energy**: -5.256 eV/atom

=====

No. 16
Compound: LiGaO2
Source: the Alexandria database
Functional: PBE-GGA
Structure: relaxed

Cell lengths 3.2162, 3.2162, 16.5639 Å; angles 90.00, 90.00, 120.00 degrees
Space group R-3m (No. 166, hexagonal axes)
Asymmetric unit:
Li1 0.0000 0.0000 0.0000 (multiplicity 3)
Ga1 0.0000 0.0000 0.5000 (multiplicity 3)
O1 0.0000 0.0000 0.3986 (multiplicity 6)

Values from the calculation:
**Fermi-level density of states**: 0.00 states/eV/f.u.
**Formation energy (no corrections)**: -1.27 eV per atom
**Raw total energy**: -4.983 eV/atom